SbCCl2 after structural relaxation. Source: the Alexandria database, functional PBE-GGA.

Output
* offset from the most stable computed form: 329 meV per atom
* space-group type: Fm-3m
* formation energy from raw total energies: 1.49 eV per atom

Lattice parameters (Å, degrees): 4.793 4.793 4.793 60.00 60.00 60.00
Each line ends with the local moment (μB).
Element x y z (fractional)
Sb (0.500, 0.500, 0.500)  0.09
C (0.000, 0.000, 0.000)  0.88
Cl (0.750, 0.750, 0.750)  0.09
Cl (0.250, 0.250, 0.250)  0.09